No. 1
A relaxed structure of SbP, computed with PBE-GGA.

Unit cell a=3.938 b=3.938 c=21.851 alpha=90.00 beta=90.00 gamma=120.00
Element x y z (fractional)
Sb1 0.000 0.000 0.104
Sb2 0.000 0.000 0.896
Sb3 0.333 0.667 0.563
Sb4 0.333 0.667 0.771
Sb5 0.667 0.333 0.229
Sb6 0.667 0.333 0.437
P1 0.000 0.000 0.376
P2 0.000 0.000 0.624
P3 0.333 0.667 0.043
P4 0.333 0.667 0.290
P5 0.667 0.333 0.710
P6 0.667 0.333 0.957

## Properties
**E_form (uncorrected)**: 0.12 eV/atom

No. 2
A relaxed structure of Sb5P, computed with PBE-GGA.

Unit cell a=6.158 b=6.158 c=6.158 alpha=60.00 beta=60.00 gamma=60.00
Element x y z (fractional)
Sb1 0.000 0.000 0.000
Sb2 0.127 0.624 0.624
Sb3 0.624 0.127 0.624
Sb4 0.624 0.624 0.127
Sb5 0.624 0.624 0.624
P1 0.250 0.250 0.250

## Properties
**E_form (uncorrected)**: 0.71 eV/atom

No. 3
A relaxed structure of SbP2, computed with PBE-GGA.

Unit cell a=3.245 b=15.103 c=5.203 alpha=90.00 beta=90.00 gamma=90.00
Element x y z (fractional)
Sb1 0.000 0.169 0.250
Sb2 0.000 0.831 0.750
Sb3 0.500 0.331 0.750
Sb4 0.500 0.669 0.250
P1 0.000 0.109 0.750
P2 0.000 0.493 0.250
P3 0.000 0.507 0.750
P4 0.000 0.891 0.250
P5 0.500 0.007 0.750
P6 0.500 0.391 0.250
P7 0.500 0.609 0.750
P8 0.500 0.993 0.250

## Properties
**E_form (uncorrected)**: 0.16 eV/atom

No. 4
A relaxed structure of SbP, computed with PBE-GGA.

Unit cell a=3.765 b=3.765 c=4.617 alpha=90.00 beta=90.00 gamma=120.00
Element x y z (fractional)
Sb1 0.000 0.000 0.000
P1 0.333 0.667 0.310

## Properties
**E_form (uncorrected)**: 0.14 eV/atom

No. 5
A relaxed structure of Sb2P, computed with PBE-GGA.

Unit cell a=3.586 b=3.586 c=23.315 alpha=90.00 beta=90.00 gamma=90.00
Element x y z (fractional)
Sb1 0.000 0.250 0.310
Sb2 0.000 0.250 0.440
Sb3 0.000 0.750 0.560
Sb4 0.000 0.750 0.690
Sb5 0.500 0.250 0.060
Sb6 0.500 0.250 0.190
Sb7 0.500 0.750 0.810
Sb8 0.500 0.750 0.940
P1 0.000 0.250 0.875
P2 0.000 0.750 0.125
P3 0.500 0.250 0.625
P4 0.500 0.750 0.375

## Properties
**E_form (uncorrected)**: 0.41 eV/atom

No. 6
A relaxed structure of Sb2P, computed with PBE-GGA.

Unit cell a=11.955 b=3.953 c=8.668 alpha=90.00 beta=131.71 gamma=90.00
Element x y z (fractional)
Sb1 0.061 0.000 0.363
Sb2 0.135 0.500 0.023
Sb3 0.365 0.000 0.977
Sb4 0.439 0.500 0.637
Sb5 0.561 0.500 0.363
Sb6 0.635 0.000 0.023
Sb7 0.865 0.500 0.977
Sb8 0.939 0.000 0.637
P1 0.237 0.500 0.667
P2 0.263 0.000 0.333
P3 0.737 0.000 0.667
P4 0.763 0.500 0.333

## Properties
**E_form (uncorrected)**: 0.19 eV/atom

No. 7
A relaxed structure of Sb2P, computed with PBE-GGA.

Unit cell a=5.350 b=5.350 c=2.990 alpha=90.00 beta=90.00 gamma=120.00
Element x y z (fractional)
Sb1 0.333 0.667 0.000
Sb2 0.667 0.333 0.000
P1 0.000 0.000 0.000

## Properties
**E_form (uncorrected)**: 0.39 eV/atom

No. 8
A relaxed structure of Sb2P, computed with PBE-GGA.

Unit cell a=4.025 b=12.674 c=5.845 alpha=90.00 beta=90.00 gamma=90.00
Element x y z (fractional)
Sb1 0.000 0.018 0.250
Sb2 0.000 0.327 0.250
Sb3 0.000 0.673 0.750
Sb4 0.000 0.982 0.750
Sb5 0.500 0.173 0.750
Sb6 0.500 0.482 0.750
Sb7 0.500 0.518 0.250
Sb8 0.500 0.827 0.250
P1 0.000 0.324 0.750
P2 0.000 0.676 0.250
P3 0.500 0.176 0.250
P4 0.500 0.824 0.750

## Properties
**E_form (uncorrected)**: 0.17 eV/atom

No. 9
A relaxed structure of Sb2P, computed with PBE-GGA.

Unit cell a=8.159 b=8.159 c=3.711 alpha=90.00 beta=90.00 gamma=120.00
Element x y z (fractional)
Sb1 0.000 0.257 0.000
Sb2 0.000 0.562 0.500
Sb3 0.257 0.000 0.000
Sb4 0.438 0.438 0.500
Sb5 0.562 0.000 0.500
Sb6 0.743 0.743 0.000
P1 0.000 0.000 0.500
P2 0.333 0.667 0.000
P3 0.667 0.333 0.000

## Properties
**E_form (uncorrected)**: 0.40 eV/atom

No. 10
A relaxed structure of SbP, computed with PBE-GGA.

Unit cell a=8.706 b=8.706 c=5.833 alpha=90.00 beta=90.00 gamma=90.00
Element x y z (fractional)
Sb1 0.070 0.694 0.000
Sb2 0.194 0.430 0.500
Sb3 0.306 0.070 0.000
Sb4 0.430 0.806 0.500
Sb5 0.570 0.194 0.500
Sb6 0.694 0.930 0.000
Sb7 0.806 0.570 0.500
Sb8 0.930 0.306 0.000
P1 0.073 0.700 0.500
P2 0.200 0.427 0.000
P3 0.300 0.073 0.500
P4 0.427 0.800 0.000
P5 0.573 0.200 0.000
P6 0.700 0.927 0.500
P7 0.800 0.573 0.000
P8 0.927 0.300 0.500

## Properties
**E_form (uncorrected)**: 0.22 eV/atom

No. 11
A relaxed structure of SbP, computed with PBE-GGA.

Unit cell a=6.325 b=6.325 c=6.325 alpha=90.00 beta=90.00 gamma=90.00
Element x y z (fractional)
Sb1 0.000 0.000 0.000
Sb2 0.000 0.500 0.500
Sb3 0.500 0.000 0.500
Sb4 0.500 0.500 0.000
P1 0.250 0.250 0.250
P2 0.250 0.750 0.750
P3 0.750 0.250 0.750
P4 0.750 0.750 0.250

## Properties
**E_form (uncorrected)**: 0.48 eV/atom

No. 12
A relaxed structure of SbP2, computed with PBE-GGA.

Unit cell a=3.227 b=3.227 c=12.364 alpha=90.00 beta=90.00 gamma=90.00
Element x y z (fractional)
Sb1 0.000 0.000 0.000
Sb2 0.500 0.500 0.500
P1 0.000 0.000 0.227
P2 0.000 0.000 0.773
P3 0.500 0.500 0.273
P4 0.500 0.500 0.727

## Properties
**E_form (uncorrected)**: 0.18 eV/atom

What is the E_form (uncorrected) in the first record? 0.12 eV/atom